Record 1
VASP calculation (PBE) on a geometry-optimized CeTlNi structure.

The density of states at the Fermi level comes out at 7.739 states/eV/f.u. The energy relative to the elements is -0.219 eV per atom. Its raw total energy is -58.95 eV per cell.

The structure belongs to space group F-43m (No. 216); the cell edges are 6.5660, 6.5660 and 6.5660 Å and the angles 90.00°, 90.00° and 90.00°. The distinct sites, in fractional coordinates, are Ce at (0.0000, 0.0000, 0.0000), Tl at (0.0000, 0.0000, 0.5000) and Ni at (0.2500, 0.2500, 0.7500).

***

Record 2
VASP calculation (PBE) on a geometry-optimized PrPaSbN2 structure.

The density of states at the Fermi level comes out at 2.492 states/eV/f.u. Its raw total energy is -83.92 eV per cell. For the energy relative to the elements, uncorrected, the calculation gives -6.9 eV per formula unit.

The structure belongs to space group I4mm (No. 107); the cell edges are 3.9848, 3.9848 and 13.6112 Å and the angles 90.00°, 90.00° and 90.00°. The distinct sites, in fractional coordinates, are Pr at (0.0000, 0.0000, 0.0000), Pa at (0.0000, 0.0000, 0.3319), Sb at (0.0000, 0.0000, 0.6671) and N at (0.0000, 0.5000, 0.3999).

***

Record 3
VASP calculation (PBE) on a geometry-optimized PuThCoCu structure.

The density of states at the Fermi level comes out at 8.739 states/eV/f.u. The energy relative to the elements is 0.000 eV per atom. Its raw total energy is -131.81 eV per cell.

The structure belongs to space group F-43m (No. 216); the cell edges are 6.9077, 6.9077 and 6.9077 Å and the angles 90.00°, 90.00° and 90.00°. The distinct sites, in fractional coordinates, are Pu at (0.0000, 0.0000, 0.0000), Th at (0.0000, 0.0000, 0.5000), Co at (0.2500, 0.2500, 0.7500) and Cu at (0.2500, 0.2500, 0.2500).

***

Record 4
VASP calculation (PBE) on a geometry-optimized K2RbBa structure.

The density of states at the Fermi level comes out at 5.881 states/eV/f.u. For the relative energy among the computed polymorphs, the calculation gives 71.9 meV per atom. The energy relative to the elements is 0.125 eV per atom. Its raw total energy is -18.34 eV per cell.

The structure belongs to space group Fm-3m (No. 225); the cell edges are 10.6065, 10.6065 and 10.6065 Å and the angles 90.00°, 90.00° and 90.00°. The distinct sites, in fractional coordinates, are K at (0.2500, 0.2500, 0.2500), Rb at (0.0000, 0.0000, 0.0000) and Ba at (0.0000, 0.0000, 0.5000).

***

Record 5
VASP calculation (PBE) on a geometry-optimized SrSn2P2 structure.

The density of states at the Fermi level comes out at 1.749 states/eV/f.u. The energy relative to the elements is -0.281 eV per atom. Its raw total energy is -43.82 eV per cell.

The structure belongs to space group I4/mmm (No. 139); the cell edges are 5.2534, 5.2534 and 9.4592 Å and the angles 90.00°, 90.00° and 90.00°. The distinct sites, in fractional coordinates, are Sr at (0.0000, 0.0000, 0.0000), Sn at (0.0000, 0.0000, 0.3419) and P at (0.0000, 0.5000, 0.2500).

***

Record 6
VASP calculation (PBE) on a geometry-optimized RbMnAlTe3 structure.

The density of states at the Fermi level comes out at 2.601 states/eV/f.u. Its raw total energy is -51.61 eV per cell. For the energy relative to the elements, uncorrected, the calculation gives -2.5 eV per formula unit.

The structure belongs to space group P2_1/m (No. 11); the cell edges are 9.5208, 3.9593 and 11.3085 Å and the angles 90.00°, 112.97° and 90.00°. The distinct sites, in fractional coordinates, are Rb at (0.2354, 0.2500, 0.2772), Mn at (0.3529, 0.7500, 0.8406), Al at (0.1119, 0.2500, 0.5670), Te at (0.1348, 0.2500, 0.8115), Te at (0.3281, 0.7500, 0.5879) and Te at (0.4257, 0.7500, 0.0996).

***

Record 7
VASP calculation (PBE) on a geometry-optimized Tm3PaAg3Se8 structure.

The density of states at the Fermi level comes out at 3.290 states/eV/f.u. Its raw total energy is -154.24 eV per cell. For the energy relative to the elements, uncorrected, the calculation gives -17.8 eV per formula unit.

The structure belongs to space group C2/m (No. 12); the cell edges are 13.7709, 8.2716 and 8.0583 Å and the angles 90.00°, 123.38° and 90.00°. The distinct sites, in fractional coordinates, are Tm at (0.0000, 0.0000, 0.0000), Tm at (0.2500, 0.2500, 0.5000), Pa at (0.0000, 0.5000, 0.0000), Ag at (0.0000, 0.5000, 0.5000), Ag at (0.2500, 0.2500, 0.0000), Se at (0.0034, 0.2466, 0.2484), Se at (0.2484, 0.0000, 0.2532) and Se at (0.2501, 0.0000, 0.7417).

***

Record 8
VASP calculation (PBE) on a geometry-optimized Ho2Er3Os2 structure.

The density of states at the Fermi level comes out at 4.763 states/eV/f.u. For the relative energy among the computed polymorphs, the calculation gives 0.0 meV per atom. The energy relative to the elements is -0.276 eV per atom. Its raw total energy is -94.47 eV per cell.

The structure belongs to space group C2/m (No. 12); the cell edges are 11.7968, 3.9518 and 8.1973 Å and the angles 90.00°, 112.51° and 90.00°. The distinct sites, in fractional coordinates, are Ho at (0.1649, 0.0000, 0.3155), Er at (0.0000, 0.5000, 0.5000), Er at (0.1255, 0.5000, 0.9314) and Os at (0.1766, 0.0000, 0.7147).